Entry from the Alexandria database: a geometry-optimized IrPbCl2 structure (PBE).

a = 3.6122 Å, b = 3.6122 Å, c = 27.4203 Å
α = 90.00°, β = 90.00°, γ = 120.00°
Space group R-3m (No. 166, hexagonal axes)
Inequivalent atoms, fractional coordinates:
Ir 0.0000 0.0000 0.0000 [3 per cell]
Pb 0.0000 0.0000 0.5000 [3 per cell]
Cl 0.0000 0.0000 0.3815 [6 per cell]

- Energy: -3.81 eV/atom
- Formation energy without anion corrections: 0.257 eV/atom
- ΔE to the lowest computed polymorph: 357 meV per atom
- Total magnetic moment: 0.23 μB per atom
- DOS at the Fermi energy: 0.998 states/eV/atom


Entry from the Alexandria database: a geometry-optimized CuTc2W structure (PBE).

a = 3.209 Å, b = 3.209 Å, c = 5.606 Å
α = 90.00°, β = 90.00°, γ = 90.00°
Space group P4mm (No. 99)
Inequivalent atoms, fractional coordinates:
Cu 0.000 0.000 0.000 [1 per cell]
Tc 0.000 0.000 0.501 [1 per cell]
Tc 0.500 0.500 0.224 [1 per cell]
W 0.500 0.500 0.764 [1 per cell]

- Formation enthalpy at 0 K: 1.08 eV per formula unit
- Energy: -9.18 eV/atom
- ΔE to the lowest computed polymorph: 112 meV per atom
- Total magnetic moment: 0.00 μB per atom
- DOS at the Fermi energy: 0.897 states/eV/atom


Entry from the Alexandria database: a geometry-optimized BaYRu3 structure (PBE).

a = 5.096 Å, b = 5.096 Å, c = 5.096 Å
α = 90.00°, β = 90.00°, γ = 90.00°
Space group Pm-3m (No. 221)
Inequivalent atoms, fractional coordinates:
Ba 0.000 0.000 0.000 [1 per cell]
Y 0.500 0.500 0.500 [1 per cell]
Ru 0.000 0.500 0.500 [3 per cell]

- Formation enthalpy at 0 K: 6.67 eV per formula unit
- Energy: -5.91 eV/atom
- ΔE to the lowest computed polymorph: 0 meV per atom
- Total magnetic moment: 0.79 μB per atom
- DOS at the Fermi energy: 1.976 states/eV/atom